# 1
Material: TePbN2F
Method: DFT, SCAN
State: PBEsol geometry

```
data_TePbN2F
_chemical_formula_sum 'Te1 Pb1 N2 F1'
_cell_length_a 4.2148
_cell_length_b 4.2148
_cell_length_c 6.2402
_cell_angle_alpha 90.00
_cell_angle_beta 90.00
_cell_angle_gamma 90.00
_space_group_name_H-M_alt 'P 1'
_space_group_IT_number 1
_space_group_name_Hall 'P 1'
loop_
_atom_site_label
_atom_site_type_symbol
_atom_site_fract_x
_atom_site_fract_y
_atom_site_fract_z
Te1 Te 0.0000 0.0000 0.0000
Pb1 Pb 0.0000 0.0000 0.5000
N1 N 0.0000 0.5000 0.5000
N2 N 0.5000 0.0000 0.5000
F1 F 0.5000 0.5000 0.0000
```

- total energy (eV per atom) = -25.510
- N(E_F) (states/eV/cell) = 3.16
- density (g/cm3) = 5.7
- E_form (uncorrected) (eV per atom) = 1.52

---

# 2
Material: PbWNF2
Method: DFT, SCAN
State: PBEsol geometry

```
data_PbWNF2
_chemical_formula_sum 'Pb1 W1 N1 F2'
_cell_length_a 4.2438
_cell_length_b 4.2438
_cell_length_c 3.9288
_cell_angle_alpha 90.00
_cell_angle_beta 90.00
_cell_angle_gamma 90.00
_space_group_name_H-M_alt 'P 1'
_space_group_IT_number 1
_space_group_name_Hall 'P 1'
loop_
_atom_site_label
_atom_site_type_symbol
_atom_site_fract_x
_atom_site_fract_y
_atom_site_fract_z
Pb1 Pb 0.0000 0.0000 0.0000
W1 W 0.5000 0.5000 0.5000
N1 N 0.5000 0.5000 0.0000
F1 F 0.0000 0.5000 0.5000
F2 F 0.5000 0.0000 0.5000
```

- total energy (eV per atom) = -33.135
- N(E_F) (states/eV/cell) = 3.08
- density (g/cm3) = 10.4
- E_form (uncorrected) (eV per atom) = -0.77

---

# 3
Material: PdPtNF2
Method: DFT, SCAN
State: PBEsol geometry

```
data_PdPtNF2
_chemical_formula_sum 'Pd1 Pt1 N1 F2'
_cell_length_a 4.3000
_cell_length_b 4.3000
_cell_length_c 3.6710
_cell_angle_alpha 90.00
_cell_angle_beta 90.00
_cell_angle_gamma 90.00
_space_group_name_H-M_alt 'P 1'
_space_group_IT_number 1
_space_group_name_Hall 'P 1'
loop_
_atom_site_label
_atom_site_type_symbol
_atom_site_fract_x
_atom_site_fract_y
_atom_site_fract_z
Pd1 Pd 0.0000 0.0000 0.0000
Pt1 Pt 0.5000 0.5000 0.5000
N1 N 0.5000 0.5000 0.0000
F1 F 0.0000 0.5000 0.5000
F2 F 0.5000 0.0000 0.5000
```

- total energy (eV per atom) = -23.707
- N(E_F) (states/eV/cell) = 6.50
- density (g/cm3) = 8.6
- E_form (uncorrected) (eV per atom) = 0.16

---

# 4
Material: PdS2NF
Method: DFT, SCAN
State: PBEsol geometry

```
data_PdS2NF
_chemical_formula_sum 'Pd1 S2 N1 F1'
_cell_length_a 4.8556
_cell_length_b 4.8556
_cell_length_c 3.6117
_cell_angle_alpha 90.00
_cell_angle_beta 90.00
_cell_angle_gamma 90.00
_space_group_name_H-M_alt 'P 1'
_space_group_IT_number 1
_space_group_name_Hall 'P 1'
loop_
_atom_site_label
_atom_site_type_symbol
_atom_site_fract_x
_atom_site_fract_y
_atom_site_fract_z
Pd1 Pd 0.0000 0.0000 0.0000
S1 S 0.0000 0.5000 0.0000
S2 S 0.5000 0.0000 0.0000
N1 N 0.0000 0.0000 0.5000
F1 F 0.5000 0.5000 0.5000
```

- total energy (eV per atom) = -11.986
- N(E_F) (states/eV/cell) = 2.40
- density (g/cm3) = 4.0
- E_form (uncorrected) (eV per atom) = 0.99

---

# 5
Material: PdSN2F
Method: DFT, SCAN
State: PBEsol geometry

```
data_PdSN2F
_chemical_formula_sum 'Pd1 S1 N2 F1'
_cell_length_a 3.5355
_cell_length_b 3.5355
_cell_length_c 5.5387
_cell_angle_alpha 90.00
_cell_angle_beta 90.00
_cell_angle_gamma 90.00
_space_group_name_H-M_alt 'P 1'
_space_group_IT_number 1
_space_group_name_Hall 'P 1'
loop_
_atom_site_label
_atom_site_type_symbol
_atom_site_fract_x
_atom_site_fract_y
_atom_site_fract_z
Pd1 Pd 0.0000 0.0000 0.0000
S1 S 0.5000 0.5000 0.0000
N1 N 0.0000 0.5000 0.5000
N2 N 0.5000 0.0000 0.5000
F1 F 0.5000 0.5000 0.5000
```

- total energy (eV per atom) = -10.841
- N(E_F) (states/eV/cell) = 2.43
- density (g/cm3) = 4.4
- E_form (uncorrected) (eV per atom) = 2.06
- relative energy among the computed polymorphs (meV/atom) = 761

---

# 6
Material: PdSN2F
Method: DFT, SCAN
State: PBEsol geometry

```
data_PdSN2F
_chemical_formula_sum 'Pd1 S1 N2 F1'
_cell_length_a 3.5874
_cell_length_b 3.5874
_cell_length_c 3.9306
_cell_angle_alpha 90.00
_cell_angle_beta 90.00
_cell_angle_gamma 90.00
_space_group_name_H-M_alt 'P 1'
_space_group_IT_number 1
_space_group_name_Hall 'P 1'
loop_
_atom_site_label
_atom_site_type_symbol
_atom_site_fract_x
_atom_site_fract_y
_atom_site_fract_z
Pd1 Pd 0.0000 0.0000 0.0000
S1 S 0.5000 0.5000 0.5000
N1 N 0.0000 0.5000 0.5000
N2 N 0.5000 0.0000 0.5000
F1 F 0.5000 0.5000 0.0000
```

- total energy (eV per atom) = -11.602
- N(E_F) (states/eV/cell) = 2.96
- density (g/cm3) = 6.1
- E_form (uncorrected) (eV per atom) = 1.30
- relative energy among the computed polymorphs (meV/atom) = 0

---

# 7
Material: ScPdN2F
Method: DFT, SCAN
State: PBEsol geometry

```
data_ScPdN2F
_chemical_formula_sum 'Sc1 Pd1 N2 F1'
_cell_length_a 4.1485
_cell_length_b 4.1485
_cell_length_c 3.8282
_cell_angle_alpha 90.00
_cell_angle_beta 90.00
_cell_angle_gamma 90.00
_space_group_name_H-M_alt 'P 1'
_space_group_IT_number 1
_space_group_name_Hall 'P 1'
loop_
_atom_site_label
_atom_site_type_symbol
_atom_site_fract_x
_atom_site_fract_y
_atom_site_fract_z
Sc1 Sc 0.0000 0.0000 0.0000
Pd1 Pd 0.5000 0.5000 0.5000
N1 N 0.0000 0.5000 0.0000
N2 N 0.5000 0.0000 0.0000
F1 F 0.0000 0.0000 0.5000
```

- total energy (eV per atom) = -13.914
- N(E_F) (states/eV/cell) = 3.77
- density (g/cm3) = 5.0
- E_form (uncorrected) (eV per atom) = -0.09

---

# 8
Material: SnPdN2F
Method: DFT, SCAN
State: PBEsol geometry

```
data_SnPdN2F
_chemical_formula_sum 'Sn1 Pd1 N2 F1'
_cell_length_a 4.0955
_cell_length_b 4.0955
_cell_length_c 3.9725
_cell_angle_alpha 90.00
_cell_angle_beta 90.00
_cell_angle_gamma 90.00
_space_group_name_H-M_alt 'P 1'
_space_group_IT_number 1
_space_group_name_Hall 'P 1'
loop_
_atom_site_label
_atom_site_type_symbol
_atom_site_fract_x
_atom_site_fract_y
_atom_site_fract_z
Sn1 Sn 0.0000 0.0000 0.0000
Pd1 Pd 0.5000 0.5000 0.5000
N1 N 0.0000 0.5000 0.0000
N2 N 0.5000 0.0000 0.0000
F1 F 0.0000 0.0000 0.5000
```

- total energy (eV per atom) = -17.506
- N(E_F) (states/eV/cell) = 3.48
- density (g/cm3) = 6.8
- E_form (uncorrected) (eV per atom) = 0.66

---

# 9
Material: TaPdNF2
Method: DFT, SCAN
State: PBEsol geometry

```
data_TaPdNF2
_chemical_formula_sum 'Ta1 Pd1 N1 F2'
_cell_length_a 3.9672
_cell_length_b 3.9672
_cell_length_c 4.1132
_cell_angle_alpha 90.00
_cell_angle_beta 90.00
_cell_angle_gamma 90.00
_space_group_name_H-M_alt 'P 1'
_space_group_IT_number 1
_space_group_name_Hall 'P 1'
loop_
_atom_site_label
_atom_site_type_symbol
_atom_site_fract_x
_atom_site_fract_y
_atom_site_fract_z
Ta1 Ta 0.0000 0.0000 0.0000
Pd1 Pd 0.5000 0.5000 0.5000
N1 N 0.5000 0.5000 0.0000
F1 F 0.0000 0.5000 0.5000
F2 F 0.5000 0.0000 0.5000
```

- total energy (eV per atom) = -22.692
- N(E_F) (states/eV/cell) = 4.27
- density (g/cm3) = 8.7
- E_form (uncorrected) (eV per atom) = 0.45

---

# 10
Material: TePdN2F
Method: DFT, SCAN
State: PBEsol geometry

```
data_TePdN2F
_chemical_formula_sum 'Te1 Pd1 N2 F1'
_cell_length_a 4.0329
_cell_length_b 4.0329
_cell_length_c 4.2185
_cell_angle_alpha 90.00
_cell_angle_beta 90.00
_cell_angle_gamma 90.00
_space_group_name_H-M_alt 'P 1'
_space_group_IT_number 1
_space_group_name_Hall 'P 1'
loop_
_atom_site_label
_atom_site_type_symbol
_atom_site_fract_x
_atom_site_fract_y
_atom_site_fract_z
Te1 Te 0.0000 0.0000 0.0000
Pd1 Pd 0.5000 0.5000 0.0000
N1 N 0.0000 0.5000 0.5000
N2 N 0.5000 0.0000 0.5000
F1 F 0.0000 0.0000 0.5000
```

- total energy (eV per atom) = -16.552
- N(E_F) (states/eV/cell) = 2.67
- density (g/cm3) = 6.8
- E_form (uncorrected) (eV per atom) = 1.88

---

# 11
Material: TlPdNF2
Method: DFT, SCAN
State: PBEsol geometry

```
data_TlPdNF2
_chemical_formula_sum 'Tl1 Pd1 N1 F2'
_cell_length_a 4.4116
_cell_length_b 4.4116
_cell_length_c 4.2137
_cell_angle_alpha 90.00
_cell_angle_beta 90.00
_cell_angle_gamma 90.00
_space_group_name_H-M_alt 'P 1'
_space_group_IT_number 1
_space_group_name_Hall 'P 1'
loop_
_atom_site_label
_atom_site_type_symbol
_atom_site_fract_x
_atom_site_fract_y
_atom_site_fract_z
Tl1 Tl 0.0000 0.0000 0.0000
Pd1 Pd 0.5000 0.5000 0.5000
N1 N 0.0000 0.0000 0.5000
F1 F 0.0000 0.5000 0.0000
F2 F 0.5000 0.0000 0.0000
```

- total energy (eV per atom) = -24.147
- N(E_F) (states/eV/cell) = 1.78
- density (g/cm3) = 7.3
- E_form (uncorrected) (eV per atom) = 0.15

---

# 12
Material: TlPdN2F
Method: DFT, SCAN
State: PBEsol geometry

```
data_TlPdN2F
_chemical_formula_sum 'Tl1 Pd1 N2 F1'
_cell_length_a 3.7465
_cell_length_b 3.7465
_cell_length_c 5.6098
_cell_angle_alpha 90.00
_cell_angle_beta 90.00
_cell_angle_gamma 90.00
_space_group_name_H-M_alt 'P 1'
_space_group_IT_number 1
_space_group_name_Hall 'P 1'
loop_
_atom_site_label
_atom_site_type_symbol
_atom_site_fract_x
_atom_site_fract_y
_atom_site_fract_z
Tl1 Tl 0.0000 0.0000 0.0000
Pd1 Pd 0.5000 0.5000 0.5000
N1 N 0.0000 0.5000 0.5000
N2 N 0.5000 0.0000 0.5000
F1 F 0.5000 0.5000 0.0000
```

- total energy (eV per atom) = -24.816
- N(E_F) (states/eV/cell) = 3.25
- density (g/cm3) = 7.5
- E_form (uncorrected) (eV per atom) = 0.64

---

# 13
Material: PtNF3
Method: DFT, SCAN
State: PBEsol geometry

```
data_PtNF3
_chemical_formula_sum 'Pt1 N1 F3'
_cell_length_a 3.7918
_cell_length_b 3.7918
_cell_length_c 3.7918
_cell_angle_alpha 90.00
_cell_angle_beta 90.00
_cell_angle_gamma 90.00
_space_group_name_H-M_alt 'P 1'
_space_group_IT_number 1
_space_group_name_Hall 'P 1'
loop_
_atom_site_label
_atom_site_type_symbol
_atom_site_fract_x
_atom_site_fract_y
_atom_site_fract_z
Pt1 Pt 0.0000 0.0000 0.0000
N1 N 0.5000 0.5000 0.5000
F1 F 0.0000 0.5000 0.5000
F2 F 0.5000 0.0000 0.5000
F3 F 0.5000 0.5000 0.0000
```

- total energy (eV per atom) = -17.012
- N(E_F) (states/eV/cell) = 4.66
- density (g/cm3) = 8.1
- E_form (uncorrected) (eV per atom) = 1.01

---

# 14
Material: Pt3NF
Method: DFT, SCAN
State: PBEsol geometry

```
data_Pt3NF
_chemical_formula_sum 'Pt3 N1 F1'
_cell_length_a 4.0702
_cell_length_b 4.0702
_cell_length_c 4.0702
_cell_angle_alpha 90.00
_cell_angle_beta 90.00
_cell_angle_gamma 90.00
_space_group_name_H-M_alt 'P 1'
_space_group_IT_number 1
_space_group_name_Hall 'P 1'
loop_
_atom_site_label
_atom_site_type_symbol
_atom_site_fract_x
_atom_site_fract_y
_atom_site_fract_z
Pt1 Pt 0.0000 0.0000 0.5000
Pt2 Pt 0.0000 0.5000 0.0000
Pt3 Pt 0.5000 0.0000 0.0000
N1 N 0.0000 0.0000 0.0000
F1 F 0.5000 0.5000 0.5000
```

- total energy (eV per atom) = -44.068
- N(E_F) (states/eV/cell) = 5.72
- density (g/cm3) = 15.2
- E_form (uncorrected) (eV per atom) = 0.61

---

# 15
Material: RbPtN2F
Method: DFT, SCAN
State: PBEsol geometry

```
data_RbPtN2F
_chemical_formula_sum 'Rb1 Pt1 N2 F1'
_cell_length_a 3.7246
_cell_length_b 3.7246
_cell_length_c 6.3766
_cell_angle_alpha 90.00
_cell_angle_beta 90.00
_cell_angle_gamma 90.00
_space_group_name_H-M_alt 'P 1'
_space_group_IT_number 1
_space_group_name_Hall 'P 1'
loop_
_atom_site_label
_atom_site_type_symbol
_atom_site_fract_x
_atom_site_fract_y
_atom_site_fract_z
Rb1 Rb 0.0000 0.0000 0.0000
Pt1 Pt 0.5000 0.5000 0.5000
N1 N 0.0000 0.5000 0.5000
N2 N 0.5000 0.0000 0.5000
F1 F 0.5000 0.5000 0.0000
```

- total energy (eV per atom) = -22.705
- N(E_F) (states/eV/cell) = 2.10
- density (g/cm3) = 6.1
- E_form (uncorrected) (eV per atom) = -0.09